An optimized crystal structure of CeGd2Nb, computed with GGA-PBE.

Calculated values
* symmetry: R-3m
* DFT total energy: -10.509 eV per atom
* energy relative to the elements: 0.53 eV per atom

abc: 3.252 3.252 11.735
angles: 82.04 82.04 60.00
Positions (direct):
Gd1 0.917 0.917 0.249
Gd2 0.083 0.083 0.751
Nb1 0.000 0.000 0.000
Ce1 0.500 0.500 0.500